Entry 1:
Entry from Alexandria: a geometry-optimized Sc2MoPb structure (GGA-PBE).

CIF file:
```
data_Sc2MoPb
_cell_length_a 9.428
_cell_length_b 3.188
_cell_length_c 5.789
_cell_angle_alpha 90.00
_cell_angle_beta 100.37
_cell_angle_gamma 90.00
_space_group_name_H-M_alt 'C 1 2/m 1'
_space_group_IT_number 12
loop_
_space_group_symop_operation_xyz
'x,y,z'
'-x,-y,-z'
'-x,y,-z'
'x,-y,z'
'x+1/2,y+1/2,z'
'-x+1/2,-y+1/2,-z'
'-x+1/2,y+1/2,-z'
'x+1/2,-y+1/2,z'
loop_
_atom_site_label
_atom_site_type_symbol
_atom_site_fract_x
_atom_site_fract_y
_atom_site_fract_z
_atom_site_occupancy
Sc1 Sc 0.242 0.000 0.231 1
Mo1 Mo 0.000 0.500 0.000 1
Pb1 Pb 0.000 0.000 0.500 1
```

Entry 2:
Entry from Alexandria: a geometry-optimized HoTl2I3Cl3 structure (GGA-PBE).

CIF file:
```
data_HoTl2I3Cl3
_cell_length_a 10.0898
_cell_length_b 10.0898
_cell_length_c 3.6533
_cell_angle_alpha 90.00
_cell_angle_beta 90.00
_cell_angle_gamma 120.00
_space_group_name_H-M_alt 'P -6 2 m'
_space_group_IT_number 189
_space_group_name_Hall 'P -6 -2'
loop_
_atom_site_label
_atom_site_type_symbol
_atom_site_fract_x
_atom_site_fract_y
_atom_site_fract_z
_atom_site_occupancy
Ho1 Ho 0.0000 0.0000 0.0000 1
Tl1 Tl 0.3333 0.6667 0.5000 1
I1 I 0.0000 0.4239 0.0000 1
Cl1 Cl 0.0000 0.8068 0.5000 1
```

Results
E_form (uncorrected) (eV/f.u.): -10.7

Entry 3:
Entry from Alexandria: a geometry-optimized BeAlAg2 structure (GGA-PBE).

CIF file:
```
data_BeAlAg2
_cell_length_a 4.1472
_cell_length_b 4.1472
_cell_length_c 13.0704
_cell_angle_alpha 90.00
_cell_angle_beta 90.00
_cell_angle_gamma 120.00
_space_group_name_H-M_alt 'R 3 m'
_space_group_IT_number 160
_space_group_name_Hall 'R 3 -2"'
loop_
_atom_site_label
_atom_site_type_symbol
_atom_site_fract_x
_atom_site_fract_y
_atom_site_fract_z
_atom_site_occupancy
Be1 Be 0.0000 0.0000 0.0000 1
Al1 Al 0.0000 0.0000 0.8062 1
Ag1 Ag 0.0000 0.0000 0.3768 1
Ag2 Ag 0.0000 0.0000 0.5899 1
```

Entry 4:
Entry from Alexandria: a geometry-optimized Ho2CuSi structure (GGA-PBE).

CIF file:
```
data_Ho2CuSi
_cell_length_a 3.5448
_cell_length_b 3.5448
_cell_length_c 28.4537
_cell_angle_alpha 90.00
_cell_angle_beta 90.00
_cell_angle_gamma 120.00
_space_group_name_H-M_alt 'R -3 m'
_space_group_IT_number 166
_space_group_name_Hall '-R 3 2"'
loop_
_atom_site_label
_atom_site_type_symbol
_atom_site_fract_x
_atom_site_fract_y
_atom_site_fract_z
_atom_site_occupancy
Ho1 Ho 0.0000 0.0000 0.0988 1
Cu1 Cu 0.0000 0.0000 0.0000 1
Si1 Si 0.0000 0.0000 0.5000 1
```

Results
E_form (uncorrected) (eV/f.u.): 1.0

Entry 5:
Entry from Alexandria: a geometry-optimized NaCePr structure (GGA-PBE).

CIF file:
```
data_NaCePr
_cell_length_a 3.503
_cell_length_b 3.503
_cell_length_c 16.040
_cell_angle_alpha 90.00
_cell_angle_beta 90.00
_cell_angle_gamma 90.00
_space_group_name_H-M_alt 'P 4/n m m'
_space_group_IT_number 129
loop_
_space_group_symop_operation_xyz
'x,y,z'
'-x,-y,-z'
'-y+1/2,x,z'
'y+1/2,-x,-z'
'-x+1/2,-y+1/2,z'
'x+1/2,y+1/2,-z'
'y,-x+1/2,z'
'-y,x+1/2,-z'
'x+1/2,-y,-z'
'-x+1/2,y,z'
'-y,-x,-z'
'y,x,z'
'-x,y+1/2,-z'
'x,-y+1/2,z'
'y+1/2,x+1/2,-z'
'-y+1/2,-x+1/2,z'
loop_
_atom_site_label
_atom_site_type_symbol
_atom_site_fract_x
_atom_site_fract_y
_atom_site_fract_z
_atom_site_occupancy
Na1 Na 0.250 0.250 0.091 1
Ce1 Ce 0.250 0.250 0.432 1
Pr1 Pr 0.250 0.250 0.724 1
```

Entry 6:
Entry from Alexandria: a geometry-optimized Ac3NdTl2 structure (GGA-PBE).

CIF file:
```
data_Ac3NdTl2
_cell_length_a 7.119
_cell_length_b 17.809
_cell_length_c 7.145
_cell_angle_alpha 90.00
_cell_angle_beta 90.00
_cell_angle_gamma 90.00
_space_group_name_H-M_alt 'I b a m'
_space_group_IT_number 72
_space_group_name_Hall '-I 2 2c'
loop_
_atom_site_label
_atom_site_type_symbol
_atom_site_fract_x
_atom_site_fract_y
_atom_site_fract_z
_atom_site_occupancy
Ac1 Ac 0.000 0.000 0.250 1
Ac2 Ac 0.246 0.321 0.000 1
Nd1 Nd 0.000 0.500 0.250 1
Tl1 Tl 0.240 0.368 0.500 1
```

Entry 7:
Entry from Alexandria: a geometry-optimized Ho2Tm7Th2 structure (GGA-PBE).

CIF file:
```
data_Ho2Tm7Th2
_cell_length_a 10.993
_cell_length_b 11.323
_cell_length_c 6.055
_cell_angle_alpha 90.00
_cell_angle_beta 113.64
_cell_angle_gamma 90.00
_space_group_name_H-M_alt 'C 1 2/m 1'
_space_group_IT_number 12
loop_
_space_group_symop_operation_xyz
'x,y,z'
'-x,-y,-z'
'-x,y,-z'
'x,-y,z'
'x+1/2,y+1/2,z'
'-x+1/2,-y+1/2,-z'
'-x+1/2,y+1/2,-z'
'x+1/2,-y+1/2,z'
loop_
_atom_site_label
_atom_site_type_symbol
_atom_site_fract_x
_atom_site_fract_y
_atom_site_fract_z
_atom_site_occupancy
Ho1 Ho 0.000 0.214 0.000 1
Tm1 Tm 0.000 0.000 0.500 1
Tm2 Tm 0.173 0.238 0.673 1
Tm3 Tm 0.237 0.000 0.078 1
Th1 Th 0.086 0.500 0.308 1
```

Entry 8:
Entry from Alexandria: a geometry-optimized PmYTi structure (GGA-PBE).

CIF file:
```
data_PmYTi
_cell_length_a 3.396
_cell_length_b 3.396
_cell_length_c 14.282
_cell_angle_alpha 90.00
_cell_angle_beta 90.00
_cell_angle_gamma 90.00
_space_group_name_H-M_alt 'P 4/n m m'
_space_group_IT_number 129
loop_
_space_group_symop_operation_xyz
'x,y,z'
'-x,-y,-z'
'-y+1/2,x,z'
'y+1/2,-x,-z'
'-x+1/2,-y+1/2,z'
'x+1/2,y+1/2,-z'
'y,-x+1/2,z'
'-y,x+1/2,-z'
'x+1/2,-y,-z'
'-x+1/2,y,z'
'-y,-x,-z'
'y,x,z'
'-x,y+1/2,-z'
'x,-y+1/2,z'
'y+1/2,x+1/2,-z'
'-y+1/2,-x+1/2,z'
loop_
_atom_site_label
_atom_site_type_symbol
_atom_site_fract_x
_atom_site_fract_y
_atom_site_fract_z
_atom_site_occupancy
Pm1 Pm 0.250 0.250 0.101 1
Y1 Y 0.250 0.250 0.401 1
Ti1 Ti 0.250 0.250 0.746 1
```

Record-wise final energy values, in Ry/atom: -0.4887, -0.2470, -0.2299, -0.3240, -0.2893, -0.2836, -0.3562, -0.4517
Record-wise Fermi-level density of states values, in states/eV per cell: 6.75, 4.49, 5.35, 9.95, 8.00, 33.05, 34.20, 9.98
Record-wise M_tot values, in Bohr magnetons per cell: 0.00, 0.00, 0.00, 0.00, 0.00, 1.85, 0.00, 0.00